1.
Density functional theory data (PBE) for CoMoOs2 after structural relaxation.

VASP energy = -9.926 eV per atom
Energy above the lowest structure with this stoichiometry = 0.57 eV/f.u.
Total magnetization = 1.4 μB/f.u.

Cell lengths 2.7170, 2.7170, 26.3270 Å; angles 90.00, 90.00, 120.00 degrees
Last column: nearest neighbours and their distance in Å.
Space group R-3m (No. 166, hexagonal axes)
Symmetry-distinct sites (fractional):
Co  0.0000  0.0000  0.0000 [3 per cell]  6 Os 2.62, 6 Co 2.72
Mo  0.0000  0.0000  0.5000 [3 per cell]  6 Mo 2.72, 6 Os 2.77
Os  0.0000  0.0000  0.2535 [6 per cell]  3 Co 2.62, 6 Os 2.72, 3 Mo 2.77



2.
Density functional theory data (PBE) for TlAgBiCl6 after structural relaxation.

VASP energy = -3.028 eV per atom
Total magnetization = 1.0 μB/f.u.

Cell lengths 6.9282, 6.9613, 6.9670 Å; angles 116.77, 92.18, 92.25 degrees
Last column: nearest neighbours and their distance in Å.
Space group P1 (No. 1)
Symmetry-distinct sites (fractional):
Tl  0.0000  0.0000  0.0000 [1 per cell]  6 Cl 3.12-3.39
Ag  0.5004  0.6669  0.3326 [1 per cell]  4 Cl 2.50-2.52
Bi  0.5005  0.3261  0.6740 [1 per cell]  6 Cl 2.63-2.86
Cl  0.2540  0.0163  0.6467 [1 per cell]  1 Bi 2.63
Cl  0.2798  0.3828  0.3508 [1 per cell]  1 Ag 2.50
Cl  0.3075  0.6341  0.0035 [1 per cell]  1 Ag 2.52, 1 Bi 2.77
Cl  0.6933  0.9968  0.3656 [1 per cell]  1 Ag 2.52, 1 Bi 2.77
Cl  0.7214  0.6488  0.6160 [1 per cell]  1 Ag 2.50
Cl  0.7484  0.3549  0.9827 [1 per cell]  1 Bi 2.63



3.
Density functional theory data (PBE) for NaLu2Ir after structural relaxation.

VASP energy = -5.249 eV per atom
Total magnetization = 0.0 μB/f.u.

Cell lengths 3.3683, 3.3683, 9.5083 Å; angles 90.00, 90.00, 90.00 degrees
Last column: nearest neighbours and their distance in Å.
Space group P4/mmm (No. 123)
Symmetry-distinct sites (fractional):
Na  0.0000  0.0000  0.0000 [1 per cell]  4 Na 3.37
Lu  0.5000  0.5000  0.3307 [2 per cell]  4 Ir 2.87
Ir  0.0000  0.0000  0.5000 [1 per cell]  8 Lu 2.87



| no. | D(E_F) (states/eV per cell) |
| --- | --- |
| 1 | 12.38 |
| 2 | 2.39 |
| 3 | 2.26 |